A plane-wave DFT calculation with PBE was carried out for crystalline ScIrRh at its relaxed geometry.

a = 4.4315 Å, b = 4.4315 Å, c = 2.8188 Å
α = 90.00°, β = 90.00°, γ = 120.00°
Positions (direct):
Sc 0.0000 0.0000 0.0000
Ir 0.3333 0.6667 0.3409
Rh 0.6667 0.3333 0.8029

Properties
- uncorrected energy (eV/atom) = -7.886
- total magnetization (μB per formula unit) = 0.004
- ΔE_f (eV/f.u.) = -1.11
- SG = P3m1

---

A plane-wave DFT calculation with PBE was carried out for crystalline Sc6Ir5Rh at its relaxed geometry.

a = 7.2427 Å, b = 7.2427 Å, c = 6.4171 Å
α = 90.00°, β = 90.00°, γ = 143.11°
Positions (direct):
Sc 0.0000 0.0000 0.2502
Sc 0.0000 0.0000 0.7498
Sc 0.3334 0.6666 0.2504
Sc 0.3334 0.6666 0.7496
Sc 0.6666 0.3334 0.2504
Sc 0.6666 0.3334 0.7496
Ir 0.1667 0.8333 0.0000
Ir 0.1665 0.8335 0.5000
Ir 0.5000 0.5000 0.0000
Ir 0.8333 0.1667 0.0000
Ir 0.8335 0.1665 0.5000
Rh 0.5000 0.5000 0.5000

Properties
- uncorrected energy (eV/atom) = -8.497
- total magnetization (μB per formula unit) = 0.000
- ΔE_f (eV/f.u.) = -12.32
- SG = Cmmm

---

A plane-wave DFT calculation with PBE was carried out for crystalline Sc8Ir2Rh at its relaxed geometry.

a = 7.1547 Å, b = 7.1547 Å, c = 5.1894 Å
α = 99.79°, β = 99.79°, γ = 112.42°
Positions (direct):
Sc 0.0755 0.3291 0.5992
Sc 0.2172 0.7828 0.0000
Sc 0.3291 0.0755 0.5992
Sc 0.3644 0.3644 0.1864
Sc 0.6356 0.6356 0.8136
Sc 0.6709 0.9245 0.4008
Sc 0.7828 0.2172 0.0000
Sc 0.9245 0.6709 0.4008
Ir 0.3114 0.6886 0.5000
Ir 0.6886 0.3114 0.5000
Rh 0.0000 0.0000 0.0000

Properties
- uncorrected energy (eV/atom) = -7.427
- total magnetization (μB per formula unit) = 0.000
- ΔE_f (eV/f.u.) = -5.98
- SG = C2/m

---

A plane-wave DFT calculation with PBE was carried out for crystalline ScIrRh3 at its relaxed geometry.

a = 4.5297 Å, b = 4.5297 Å, c = 4.5297 Å
α = 90.00°, β = 90.00°, γ = 90.00°
Positions (direct):
Sc 0.0000 0.0000 0.0000
Ir 0.5000 0.5000 0.5000
Rh 0.0000 0.0000 0.5000
Rh 0.0000 0.5000 0.0000
Rh 0.5000 0.0000 0.0000

Properties
- uncorrected energy (eV/atom) = -6.221
- total magnetization (μB per formula unit) = 2.245
- ΔE_f (eV/f.u.) = 6.14
- SG = Pm-3m

---

A plane-wave DFT calculation with PBE was carried out for crystalline Sc3IrRh at its relaxed geometry.

a = 4.9240 Å, b = 4.9240 Å, c = 4.9240 Å
α = 90.00°, β = 90.00°, γ = 90.00°
Positions (direct):
Sc 0.0000 0.0000 0.5000
Sc 0.0000 0.5000 0.0000
Sc 0.5000 0.0000 0.0000
Ir 0.0000 0.0000 0.0000
Rh 0.5000 0.5000 0.5000

Properties
- uncorrected energy (eV/atom) = -7.139
- total magnetization (μB per formula unit) = 0.000
- ΔE_f (eV/f.u.) = -0.49
- SG = Pm-3m

---

A plane-wave DFT calculation with PBE was carried out for crystalline Sc5IrRh4 at its relaxed geometry.

a = 3.1908 Å, b = 3.1908 Å, c = 16.5216 Å
α = 90.00°, β = 90.00°, γ = 90.00°
Positions (direct):
Sc 0.0000 0.0000 0.0000
Sc 0.0000 0.0000 0.1997
Sc 0.0000 0.0000 0.3997
Sc 0.0000 0.0000 0.6003
Sc 0.0000 0.0000 0.8003
Ir 0.5000 0.5000 0.5000
Rh 0.5000 0.5000 0.0998
Rh 0.5000 0.5000 0.2992
Rh 0.5000 0.5000 0.7008
Rh 0.5000 0.5000 0.9002

Properties
- uncorrected energy (eV/atom) = -8.011
- total magnetization (μB per formula unit) = 0.000
- ΔE_f (eV/f.u.) = -10.19
- SG = P4/mmm

---

A plane-wave DFT calculation with PBE was carried out for crystalline ScIrRh at its relaxed geometry.

a = 4.4740 Å, b = 4.4740 Å, c = 5.4638 Å
α = 90.00°, β = 90.00°, γ = 120.00°
Positions (direct):
Sc 0.3333 0.6667 0.2500
Sc 0.6667 0.3333 0.7500
Ir 0.0000 0.0000 0.0000
Ir 0.0000 0.0000 0.5000
Rh 0.3333 0.6667 0.7500
Rh 0.6667 0.3333 0.2500

Properties
- uncorrected energy (eV/atom) = -8.150
- total magnetization (μB per formula unit) = 0.000
- ΔE_f (eV/f.u.) = -1.91
- SG = P6_3/mmc

---

A plane-wave DFT calculation with PBE was carried out for crystalline Sc4IrRh at its relaxed geometry.

a = 4.5102 Å, b = 4.5102 Å, c = 6.3794 Å
α = 90.00°, β = 90.00°, γ = 90.00°
Positions (direct):
Sc 0.0000 0.5000 0.2476
Sc 0.0000 0.5000 0.7524
Sc 0.5000 0.0000 0.2476
Sc 0.5000 0.0000 0.7524
Ir 0.0000 0.0000 0.0000
Rh 0.5000 0.5000 0.5000

Properties
- uncorrected energy (eV/atom) = -7.584
- total magnetization (μB per formula unit) = 0.000
- ΔE_f (eV/f.u.) = -3.96
- SG = P4/mmm